(1)
This record from Alexandria via LeMat-Bulk describes crystalline K2LiPdCl6 at its relaxed geometry. The functional is PBE.

E_form (uncorrected): -124.7 kJ/mol of atoms
D(E_F): 7.03 states/eV/cell
raw total energy: -3.33 eV per atom

a b c (Å): 12.6871 12.6871 12.6871
angles (deg): 31.99 31.99 31.99
Fractional positions:
K1 0.1216 0.1216 0.1216
K2 0.3010 0.3010 0.3010
K3 0.6990 0.6990 0.6990
K4 0.8784 0.8784 0.8784
Li1 0.4164 0.4164 0.4164
Li2 0.5836 0.5836 0.5836
Pd1 0.0000 0.0000 0.0000
Pd2 0.5000 0.5000 0.5000
Cl1 0.1376 0.6222 0.6222
Cl2 0.2035 0.2035 0.7125
Cl3 0.2035 0.7125 0.2035
Cl4 0.2875 0.7965 0.7965
Cl5 0.3778 0.3778 0.8624
Cl6 0.3778 0.8624 0.3778
Cl7 0.6222 0.1376 0.6222
Cl8 0.6222 0.6222 0.1376
Cl9 0.7125 0.2035 0.2035
Cl10 0.7965 0.2875 0.7965
Cl11 0.7965 0.7965 0.2875
Cl12 0.8624 0.3778 0.3778


(2)
This record from Alexandria via LeMat-Bulk describes crystalline NbCoSn at its relaxed geometry. The functional is PBE.

D(E_F): 2.65 states/eV/cell
energy of formation: -0.007 eV/atom
raw total energy: -7.07 eV per atom

a b c (Å): 5.7100 5.7100 5.7100
angles (deg): 148.69 148.69 44.87
Fractional positions:
Nb1 0.0000 0.0000 0.0000
Co1 0.6318 0.6318 0.0000
Sn1 0.2945 0.2945 0.0000


(3)
This record from Alexandria via LeMat-Bulk describes crystalline LiUCl5 at its relaxed geometry. The functional is PBE.

E_form (uncorrected): -167.0 kJ/mol of atoms
D(E_F): 5.90 states/eV/cell
raw total energy: -4.94 eV per atom

a b c (Å): 7.2476 7.2476 10.0796
angles (deg): 110.22 110.22 87.59
Fractional positions:
Li1 0.1295 0.8705 0.7500
Li2 0.8705 0.1295 0.2500
U1 0.0000 0.5000 0.0000
U2 0.5000 0.0000 0.5000
Cl1 0.1621 0.5945 0.8370
Cl2 0.1680 0.1717 0.9588
Cl3 0.1717 0.1680 0.4588
Cl4 0.3235 0.6765 0.2500
Cl5 0.4055 0.8379 0.6630
Cl6 0.5945 0.1621 0.3370
Cl7 0.6765 0.3235 0.7500
Cl8 0.8283 0.8320 0.5412
Cl9 0.8320 0.8283 0.0412
Cl10 0.8379 0.4055 0.1630


(4)
This record from Alexandria via LeMat-Bulk describes crystalline B5C7 at its relaxed geometry. The functional is PBE.

ΔE to the lowest computed polymorph: 0.126 eV/atom
D(E_F): 2.05 states/eV/cell
energy of formation: 0.384 eV/atom
raw total energy: -7.78 eV per atom

a b c (Å): 6.7904 6.7904 4.7352
angles (deg): 102.27 102.27 21.57
Fractional positions:
B1 0.0000 0.0000 0.0000
B2 0.0093 0.0093 0.3434
B3 0.1494 0.1494 0.2205
B4 0.5415 0.5415 0.6092
B5 0.8650 0.8650 0.2111
C1 0.1951 0.1951 0.9150
C2 0.3117 0.3117 0.9856
C3 0.3557 0.3557 0.7067
C4 0.4703 0.4703 0.8215
C5 0.6613 0.6613 0.7236
C6 0.7036 0.7036 0.4459
C7 0.8199 0.8199 0.5132


(5)
This record from Alexandria via LeMat-Bulk describes crystalline Bi3PtBr at its relaxed geometry. The functional is PBE.

E_form (uncorrected): -23.5 kJ/mol of atoms
ΔE to the lowest computed polymorph: 0.026 eV/atom
D(E_F): 9.00 states/eV/cell
raw total energy: -4.11 eV per atom

a b c (Å): 9.4758 6.9793 9.9871
angles (deg): 90.00 113.97 90.00
Fractional positions:
Bi1 0.1017 0.0829 0.1906
Bi2 0.1017 0.4171 0.6906
Bi3 0.1904 0.5840 0.0811
Bi4 0.1904 0.9160 0.5811
Bi5 0.3008 0.5401 0.4342
Bi6 0.3008 0.9599 0.9342
Bi7 0.6992 0.0401 0.0658
Bi8 0.6992 0.4599 0.5658
Bi9 0.8096 0.0840 0.4189
Bi10 0.8096 0.4160 0.9189
Bi11 0.8983 0.5829 0.3094
Bi12 0.8983 0.9171 0.8094
Pt1 0.0875 0.2400 0.9299
Pt2 0.0875 0.2600 0.4299
Pt3 0.9125 0.7400 0.5701
Pt4 0.9125 0.7600 0.0701
Br1 0.4276 0.5311 0.7951
Br2 0.4276 0.9689 0.2951
Br3 0.5724 0.0311 0.7049
Br4 0.5724 0.4689 0.2049


(6)
This record from Alexandria via LeMat-Bulk describes crystalline K2OsCl at its relaxed geometry. The functional is PBE.

E_form (uncorrected): 61.9 kJ/mol of atoms
ΔE to the lowest computed polymorph: 0.369 eV/atom
D(E_F): 7.84 states/eV/cell
raw total energy: -3.18 eV per atom

a b c (Å): 5.7338 5.7338 5.7338
angles (deg): 60.00 60.00 60.00
Fractional positions:
K1 0.2500 0.2500 0.2500
K2 0.7500 0.7500 0.7500
Os1 0.0000 0.0000 0.0000
Cl1 0.5000 0.5000 0.5000


(7)
This record from Alexandria via LeMat-Bulk describes crystalline SiSb2Cl at its relaxed geometry. The functional is PBE.

E_form (uncorrected): 26.9 kJ/mol of atoms
ΔE to the lowest computed polymorph: 0.245 eV/atom
D(E_F): 5.78 states/eV/cell
raw total energy: -3.60 eV per atom

a b c (Å): 7.1055 7.1055 7.1055
angles (deg): 119.45 119.45 90.95
Fractional positions:
Si1 0.0000 0.0000 0.0000
Si2 0.7500 0.2500 0.5000
Sb1 0.0835 0.1250 0.4585
Sb2 0.3750 0.9165 0.0415
Sb3 0.6665 0.6250 0.5415
Sb4 0.8750 0.3335 0.9585
Cl1 0.2500 0.7500 0.5000
Cl2 0.5000 0.5000 0.0000


(8)
This record from Alexandria via LeMat-Bulk describes crystalline MgTl2SnS4 at its relaxed geometry. The functional is PBE.

E_form (uncorrected): -60.7 kJ/mol of atoms
D(E_F): 0.00 states/eV/cell
raw total energy: -3.98 eV per atom

a b c (Å): 6.7313 6.7313 6.7313
angles (deg): 114.58 114.58 99.68
Fractional positions:
Mg1 0.0000 0.0000 0.0000
Tl1 0.2500 0.7500 0.5000
Tl2 0.5000 0.5000 0.0000
Sn1 0.7500 0.2500 0.5000
S1 0.0553 0.1547 0.4288
S2 0.3735 0.9447 0.0995
S3 0.7259 0.6265 0.5712
S4 0.8453 0.2741 0.9005


(9)
This record from Alexandria via LeMat-Bulk describes crystalline Pa2PtC at its relaxed geometry. The functional is PBE.

ΔE to the lowest computed polymorph: 0.013 eV/atom
D(E_F): 3.01 states/eV/cell
energy of formation: -0.348 eV/atom
raw total energy: -8.91 eV per atom

a b c (Å): 7.1047 7.1047 7.1047
angles (deg): 29.82 29.82 29.82
Fractional positions:
Pa1 0.0000 0.0000 0.0000
Pa2 0.1388 0.1388 0.1388
Pt1 0.5704 0.5704 0.5704
C1 0.3979 0.3979 0.3979


(10)
This record from Alexandria via LeMat-Bulk describes crystalline POsRh2 at its relaxed geometry. The functional is PBE.

D(E_F): 4.16 states/eV/cell
energy of formation: 0.122 eV/atom
raw total energy: -7.71 eV per atom

a b c (Å): 4.6549 4.6549 2.7516
angles (deg): 90.00 90.00 111.16
Fractional positions:
P1 0.0000 0.0000 0.0000
Os1 0.5000 0.5000 0.0000
Rh1 0.0000 0.5000 0.5000
Rh2 0.5000 0.0000 0.5000


(11)
This record from Alexandria via LeMat-Bulk describes crystalline BaTc2W at its relaxed geometry. The functional is PBE.

ΔE to the lowest computed polymorph: 0.724 eV/atom
D(E_F): 5.13 states/eV/cell
energy of formation: 1.316 eV/atom
raw total energy: -7.59 eV per atom

a b c (Å): 4.8489 4.8489 3.2282
angles (deg): 90.00 90.00 90.00
Fractional positions:
Ba1 0.0000 0.0000 0.0000
Tc1 0.0000 0.5000 0.5000
Tc2 0.5000 0.0000 0.5000
W1 0.5000 0.5000 0.0000


(12)
This record from Alexandria via LeMat-Bulk describes crystalline Ce2AsP3Pd4 at its relaxed geometry. The functional is PBE.

D(E_F): 12.22 states/eV/cell
energy of formation: -0.890 eV/atom
raw total energy: -6.24 eV per atom

a b c (Å): 4.3456 4.3456 9.5810
angles (deg): 90.00 90.00 90.00
Fractional positions:
Ce1 0.0000 0.5000 0.2490
Ce2 0.5000 0.0000 0.7510
As1 0.5000 0.5000 0.0000
P1 0.0000 0.0000 0.0000
P2 0.0000 0.5000 0.6303
P3 0.5000 0.0000 0.3697
Pd1 0.0000 0.0000 0.5000
Pd2 0.0000 0.5000 0.8765
Pd3 0.5000 0.0000 0.1235
Pd4 0.5000 0.5000 0.5000


(13)
This record from Alexandria via LeMat-Bulk describes crystalline Sm2MoN at its relaxed geometry. The functional is PBE.

E_form (uncorrected): 5.3 kJ/mol of atoms
D(E_F): 5.09 states/eV/cell
raw total energy: -7.09 eV per atom

a b c (Å): 8.9205 8.9205 8.9205
angles (deg): 21.54 21.54 21.54
Fractional positions:
Sm1 0.1113 0.1113 0.1113
Sm2 0.8887 0.8887 0.8887
Mo1 0.0000 0.0000 0.0000
N1 0.5000 0.5000 0.5000


(14)
This record from Alexandria via LeMat-Bulk describes crystalline LiPmCuSn at its relaxed geometry. The functional is PBE.

D(E_F): 1.46 states/eV/cell
energy of formation: -0.428 eV/atom
raw total energy: -4.12 eV per atom

a b c (Å): 4.7945 4.7945 4.7945
angles (deg): 60.00 60.00 60.00
Fractional positions:
Li1 0.0000 0.0000 0.0000
Pm1 0.7500 0.7500 0.7500
Cu1 0.5000 0.5000 0.5000
Sn1 0.2500 0.2500 0.2500


(15)
This record from Alexandria via LeMat-Bulk describes crystalline SeI2F2 at its relaxed geometry. The functional is PBE.

E_form (uncorrected): -16.6 kJ/mol of atoms
ΔE to the lowest computed polymorph: 0.058 eV/atom
D(E_F): 2.20 states/eV/cell
raw total energy: -2.24 eV per atom

a b c (Å): 6.9796 6.9796 6.9796
angles (deg): 146.84 146.84 47.60
Fractional positions:
Se1 0.0000 0.0000 0.0000
I1 0.3878 0.3878 0.0000
I2 0.6122 0.6122 0.0000
F1 0.2500 0.7500 0.5000
F2 0.7500 0.2500 0.5000


(16)
This record from Alexandria via LeMat-Bulk describes crystalline Nd2Ho3ScS6 at its relaxed geometry. The functional is PBE.

E_form (uncorrected): -188.5 kJ/mol of atoms
D(E_F): 5.47 states/eV/cell
raw total energy: -6.48 eV per atom

a b c (Å): 8.7551 8.7551 7.8982
angles (deg): 103.10 103.10 25.77
Fractional positions:
Nd1 0.1667 0.1667 0.3342
Nd2 0.8333 0.8333 0.6658
Ho1 0.1697 0.1697 0.8346
Ho2 0.5000 0.5000 0.5000
Ho3 0.8303 0.8303 0.1654
Sc1 0.5000 0.5000 0.0000
S1 0.0049 0.0049 0.7611
S2 0.3375 0.3375 0.4068
S3 0.3382 0.3382 0.9302
S4 0.6618 0.6618 0.0698
S5 0.6625 0.6625 0.5932
S6 0.9951 0.9951 0.2389


(17)
This record from Alexandria via LeMat-Bulk describes crystalline Zr3SnP at its relaxed geometry. The functional is PBE.

ΔE to the lowest computed polymorph: 0.000 eV/atom
D(E_F): 7.46 states/eV/cell
energy of formation: -0.435 eV/atom
raw total energy: -7.45 eV per atom

a b c (Å): 4.8850 4.8850 4.8850
angles (deg): 90.00 90.00 90.00
Fractional positions:
Zr1 0.0000 0.0000 0.5000
Zr2 0.0000 0.5000 0.0000
Zr3 0.5000 0.0000 0.0000
Sn1 0.5000 0.5000 0.5000
P1 0.0000 0.0000 0.0000


(18)
This record from Alexandria via LeMat-Bulk describes crystalline Zr2TcHOs at its relaxed geometry. The functional is PBE.

ΔE to the lowest computed polymorph: 0.042 eV/atom
D(E_F): 3.11 states/eV/cell
raw total energy: -8.75 eV per atom

a b c (Å): 4.6216 4.6216 3.4965
angles (deg): 90.00 90.00 90.00
Fractional positions:
Zr1 0.0000 0.5000 0.0000
Zr2 0.5000 0.0000 0.0000
Tc1 0.0000 0.0000 0.5000
H1 0.5000 0.5000 0.0000
Os1 0.5000 0.5000 0.5000


(19)
This record from Alexandria via LeMat-Bulk describes crystalline IrWN3 at its relaxed geometry. The functional is PBE.

E_form (uncorrected): 124.1 kJ/mol of atoms
D(E_F): 3.50 states/eV/cell
raw total energy: -8.07 eV per atom

a b c (Å): 3.9243 3.9243 3.9243
angles (deg): 90.00 90.00 90.00
Fractional positions:
Ir1 0.0000 0.0000 0.0000
W1 0.5000 0.5000 0.5000
N1 0.0000 0.5000 0.5000
N2 0.5000 0.0000 0.5000
N3 0.5000 0.5000 0.0000


(20)
This record from Alexandria via LeMat-Bulk describes crystalline VCrH3 at its relaxed geometry. The functional is PBE.

ΔE to the lowest computed polymorph: 0.237 eV/atom
D(E_F): 1.73 states/eV/cell
raw total energy: -5.58 eV per atom

a b c (Å): 3.3869 3.3869 3.3869
angles (deg): 90.00 90.00 90.00
Fractional positions:
V1 0.0000 0.0000 0.0000
Cr1 0.5000 0.5000 0.5000
H1 0.0000 0.0000 0.5000
H2 0.0000 0.5000 0.0000
H3 0.5000 0.0000 0.0000